Ta2SeBr at its PBEsol-relaxed geometry. Source: the Alexandria database, functional SCAN.

Cell lengths 3.010, 4.332, 5.758 Å; angles 90.00, 90.00, 90.00 degrees
Atoms (fractional coordinates):
1 Ta 0.000 0.000 0.000
2 Ta 0.500 0.000 0.500
3 Se 0.000 0.500 0.500
4 Br 0.500 0.500 0.000

Output
DOS(E_F) ... 0.6757 states/eV/atom
Formation energy (no corrections) ... 0.50 eV per atom
Density ... 11.520 g/cm3